Record 1
The following is a GGA-PBE calculation of a relaxed KZn2Pt crystal, from the Alexandria database.

abc: 4.865 4.865 4.865
angles: 120.38 120.38 89.34
Fractional coordinates of all 4 atoms:
K1 0.500 0.500 0.000
Pt1 0.750 0.250 0.500
Zn1 0.000 0.000 0.000
Zn2 0.250 0.750 0.500

## Properties
The calculation puts the energy above the lowest structure with this stoichiometry at 571.5 meV per atom. As for the volume: 20.2 Å³/atom. The density of states at the Fermi level is 1.42 states/eV/f.u. As for the space group: I-4m2, No. 119. Its formation enthalpy at 0 K is 0.260 eV/atom.



Record 2
The following is a GGA-PBE calculation of a relaxed KZnPt2 crystal, from the Alexandria database.

abc: 5.083 5.083 2.874
angles: 90.00 90.00 90.00
Fractional coordinates of all 4 atoms:
K1 0.000 0.500 0.500
Pt1 0.000 0.000 0.000
Pt2 0.500 0.500 0.000
Zn1 0.500 0.000 0.500

## Properties
As for the volume: 18.6 Å³/atom. The density of states at the Fermi level is 2.20 states/eV/f.u. As for the space group: P4/mmm, No. 123. Its formation enthalpy at 0 K is 0.261 eV/atom.



Record 3
The following is a GGA-PBE calculation of a relaxed KZn2Pt crystal, from the Alexandria database.

abc: 5.167 5.167 9.186
angles: 73.67 73.67 90.00
Fractional coordinates of all 8 atoms:
Zn1 0.875 0.125 0.250
Zn2 0.875 0.625 0.250
Zn3 0.375 0.125 0.750
Zn4 0.875 0.125 0.750
K1 0.500 0.500 0.000
K2 0.250 0.750 0.500
Pt1 0.000 0.000 0.000
Pt2 0.750 0.250 0.500

## Properties
The calculation puts the energy above the lowest structure with this stoichiometry at 177.9 meV per atom. As for the volume: 28.1 Å³/atom. The density of states at the Fermi level is 1.56 states/eV/f.u. As for the space group: I4_1/amd, No. 141. Its formation enthalpy at 0 K is -0.133 eV/atom.



Record 4
The following is a GGA-PBE calculation of a relaxed K2ZnPt2 crystal, from the Alexandria database.

abc: 4.518 4.518 10.317
angles: 77.35 77.35 60.00
Fractional coordinates of all 5 atoms:
K1 0.426 0.426 0.721
K2 0.574 0.574 0.279
Zn1 0.000 0.000 0.000
Pt1 0.675 0.675 0.974
Pt2 0.325 0.325 0.026

## Properties
The calculation puts the energy above the lowest structure with this stoichiometry at 0.0 meV per atom. As for the volume: 35.3 Å³/atom. The density of states at the Fermi level is 3.68 states/eV/f.u. As for the space group: R-3m, No. 166. Its formation enthalpy at 0 K is -0.258 eV/atom.



Record 5
The following is a GGA-PBE calculation of a relaxed KZnPt2 crystal, from the Alexandria database.

abc: 5.153 5.153 5.153
angles: 132.04 132.04 70.16
Fractional coordinates of all 4 atoms:
K1 0.750 0.250 0.500
Pt1 0.000 0.000 0.000
Pt2 0.500 0.500 0.000
Zn1 0.250 0.750 0.500

## Properties
As for the volume: 18.5 Å³/atom. The density of states at the Fermi level is 1.57 states/eV/f.u. As for the space group: I4/mmm, No. 139. Its formation enthalpy at 0 K is 0.230 eV/atom.



Record 6
The following is a GGA-PBE calculation of a relaxed KZnPt2 crystal, from the Alexandria database.

abc: 4.173 4.191 4.191
angles: 90.00 90.00 90.00
Fractional coordinates of all 4 atoms:
K1 0.500 0.000 0.500
Pt1 0.000 0.000 0.000
Pt2 0.000 0.500 0.500
Zn1 0.500 0.500 0.000

## Properties
As for the volume: 18.3 Å³/atom. The density of states at the Fermi level is 1.91 states/eV/f.u. As for the space group: P4/mmm, No. 123. Its formation enthalpy at 0 K is 0.216 eV/atom.



Record 7
The following is a GGA-PBE calculation of a relaxed KZn2Pt crystal, from the Alexandria database.

abc: 3.866 2.862 7.986
angles: 69.75 90.00 90.00
Fractional coordinates of all 4 atoms:
K1 0.500 0.250 0.250
Pt1 0.500 0.750 0.750
Zn1 0.000 0.081 0.921
Zn2 0.000 0.419 0.579

## Properties
The calculation puts the energy above the lowest structure with this stoichiometry at 183.4 meV per atom. As for the volume: 20.7 Å³/atom. The density of states at the Fermi level is 1.66 states/eV/f.u. As for the space group: P2/m, No. 10. Its formation enthalpy at 0 K is -0.128 eV/atom.



Record 8
The following is a GGA-PBE calculation of a relaxed KZn2Pt crystal, from the Alexandria database.

abc: 4.211 2.946 7.576
angles: 90.01 90.00 90.00
Fractional coordinates of all 4 atoms:
K1 0.000 0.628 0.511
Pt1 0.500 0.624 0.896
Zn1 0.000 0.123 0.911
Zn2 0.500 0.125 0.182

## Properties
The calculation puts the energy above the lowest structure with this stoichiometry at 157.0 meV per atom. As for the volume: 23.5 Å³/atom. The density of states at the Fermi level is 1.21 states/eV/f.u. As for the space group: Pm, No. 6. Its formation enthalpy at 0 K is -0.154 eV/atom.



Record 9
The following is a GGA-PBE calculation of a relaxed KZnPt2 crystal, from the Alexandria database.

abc: 2.839 5.093 5.030
angles: 90.00 90.00 90.00
Fractional coordinates of all 4 atoms:
K1 0.000 0.500 0.500
Pt1 0.000 0.000 0.000
Pt2 0.500 0.500 0.000
Zn1 0.500 0.000 0.500

## Properties
As for the volume: 18.2 Å³/atom. The density of states at the Fermi level is 1.68 states/eV/f.u. As for the space group: Pmmm, No. 47. Its formation enthalpy at 0 K is 0.177 eV/atom.



Record 10
The following is a GGA-PBE calculation of a relaxed KZn2Pt crystal, from the Alexandria database.

abc: 4.790 4.790 4.790
angles: 60.00 60.00 60.00
Fractional coordinates of all 4 atoms:
Zn1 0.250 0.250 0.250
Zn2 0.750 0.750 0.750
K1 0.000 0.000 0.000
Pt1 0.500 0.500 0.500

## Properties
The calculation puts the energy above the lowest structure with this stoichiometry at 399.3 meV per atom. As for the volume: 19.4 Å³/atom. The density of states at the Fermi level is 1.23 states/eV/f.u. As for the space group: Fm-3m, No. 225. Its formation enthalpy at 0 K is 0.088 eV/atom.



Record 11
The following is a GGA-PBE calculation of a relaxed KZn2Pt crystal, from the Alexandria database.

abc: 10.022 10.022 10.022
angles: 17.26 17.26 17.26
Fractional coordinates of all 4 atoms:
K1 0.495 0.495 0.495
Pt1 0.738 0.738 0.738
Zn1 0.004 0.004 0.004
Zn2 0.262 0.262 0.262

## Properties
The calculation puts the energy above the lowest structure with this stoichiometry at 492.8 meV per atom. As for the volume: 19.3 Å³/atom. The density of states at the Fermi level is 2.42 states/eV/f.u. As for the space group: R3m, No. 160. Its formation enthalpy at 0 K is 0.182 eV/atom.



Record 12
The following is a GGA-PBE calculation of a relaxed KZn2Pt crystal, from the Alexandria database.

abc: 4.113 4.423 4.423
angles: 90.00 90.00 90.00
Fractional coordinates of all 4 atoms:
K1 0.500 0.500 0.000
Pt1 0.500 0.000 0.500
Zn1 0.000 0.000 0.000
Zn2 0.000 0.500 0.500

## Properties
The calculation puts the energy above the lowest structure with this stoichiometry at 591.0 meV per atom. As for the volume: 20.1 Å³/atom. The density of states at the Fermi level is 1.90 states/eV/f.u. As for the space group: P4/mmm, No. 123. Its formation enthalpy at 0 K is 0.280 eV/atom.



Record 13
The following is a GGA-PBE calculation of a relaxed KZnPt2 crystal, from the Alexandria database.

abc: 5.064 5.064 5.064
angles: 129.92 129.92 73.54
Fractional coordinates of all 4 atoms:
K1 0.750 0.250 0.500
Pt1 0.000 0.000 0.000
Pt2 0.250 0.750 0.500
Zn1 0.500 0.500 0.000

## Properties
As for the volume: 18.6 Å³/atom. The density of states at the Fermi level is 2.45 states/eV/f.u. As for the space group: I-4m2, No. 119. Its formation enthalpy at 0 K is 0.285 eV/atom.



Record 14
The following is a GGA-PBE calculation of a relaxed K2ZnPt2 crystal, from the Alexandria database.

abc: 6.597 6.597 5.394
angles: 90.00 90.00 90.00
Fractional coordinates of all 10 atoms:
Zn1 0.000 0.000 0.000
Zn2 0.500 0.500 0.000
K1 0.174 0.674 0.500
K2 0.674 0.826 0.500
K3 0.826 0.326 0.500
K4 0.326 0.174 0.500
Pt1 0.361 0.861 0.000
Pt2 0.861 0.639 0.000
Pt3 0.639 0.139 0.000
Pt4 0.139 0.361 0.000

## Properties
The calculation puts the energy above the lowest structure with this stoichiometry at 107.2 meV per atom. As for the volume: 23.5 Å³/atom. The density of states at the Fermi level is 0.99 states/eV/f.u. As for the space group: P4/mbm, No. 127. Its formation enthalpy at 0 K is -0.151 eV/atom.



Record 15
The following is a GGA-PBE calculation of a relaxed KZnPt3 crystal, from the Alexandria database.

abc: 4.783 4.783 4.783
angles: 90.00 90.00 90.00
Fractional coordinates of all 5 atoms:
Zn1 0.000 0.000 0.000
K1 0.500 0.500 0.500
Pt1 0.000 0.500 0.000
Pt2 0.000 0.000 0.500
Pt3 0.500 0.000 0.000

## Properties
The calculation puts the energy above the lowest structure with this stoichiometry at 0.0 meV per atom. As for the volume: 21.9 Å³/atom. The density of states at the Fermi level is 2.88 states/eV/f.u. As for the space group: Pm-3m, No. 221. Its formation enthalpy at 0 K is 0.428 eV/atom.



Record 16
The following is a GGA-PBE calculation of a relaxed KZnPt2 crystal, from the Alexandria database.

abc: 9.613 9.613 9.613
angles: 17.81 17.81 17.81
Fractional coordinates of all 4 atoms:
K1 0.750 0.750 0.750
Pt1 0.986 0.986 0.986
Pt2 0.514 0.514 0.514
Zn1 0.250 0.250 0.250

## Properties
As for the volume: 18.1 Å³/atom. The density of states at the Fermi level is 1.55 states/eV/f.u. As for the space group: R-3m, No. 166. Its formation enthalpy at 0 K is -0.056 eV/atom.



Record 17
The following is a GGA-PBE calculation of a relaxed KZnPt2 crystal, from the Alexandria database.

abc: 2.921 2.921 9.146
angles: 90.00 90.00 90.00
Fractional coordinates of all 4 atoms:
K1 0.500 0.500 0.768
Pt1 0.000 0.000 0.042
Pt2 0.500 0.500 0.256
Zn1 0.000 0.000 0.434

## Properties
As for the volume: 19.5 Å³/atom. The density of states at the Fermi level is 2.44 states/eV/f.u. As for the space group: P4mm, No. 99. Its formation enthalpy at 0 K is 0.061 eV/atom.



Record 18
The following is a GGA-PBE calculation of a relaxed KZn2Pt crystal, from the Alexandria database.

abc: 9.907 9.907 9.907
angles: 17.89 17.89 17.89
Fractional coordinates of all 4 atoms:
K1 0.250 0.250 0.250
Pt1 0.750 0.750 0.750
Zn1 0.016 0.016 0.016
Zn2 0.484 0.484 0.484

## Properties
The calculation puts the energy above the lowest structure with this stoichiometry at 396.1 meV per atom. As for the volume: 20.0 Å³/atom. The density of states at the Fermi level is 0.30 states/eV/f.u. As for the space group: R-3m, No. 166. Its formation enthalpy at 0 K is 0.085 eV/atom.



Record 19
The following is a GGA-PBE calculation of a relaxed KZn2Pt crystal, from the Alexandria database.

abc: 5.715 5.718 2.855
angles: 78.12 84.98 118.55
Fractional coordinates of all 4 atoms:
K1 0.000 0.500 0.500
Pt1 0.500 0.500 0.000
Zn1 0.000 0.000 0.000
Zn2 0.500 0.000 0.500

## Properties
The calculation puts the energy above the lowest structure with this stoichiometry at 577.0 meV per atom. As for the volume: 19.6 Å³/atom. The density of states at the Fermi level is 1.99 states/eV/f.u. As for the space group: C2/m, No. 12. Its formation enthalpy at 0 K is 0.266 eV/atom.



Record 20
The following is a GGA-PBE calculation of a relaxed KZnPt4 crystal, from the Alexandria database.

abc: 5.399 5.399 5.399
angles: 60.00 60.00 60.00
Fractional coordinates of all 6 atoms:
K1 0.000 0.000 0.000
Zn1 0.750 0.750 0.750
Pt1 0.874 0.375 0.375
Pt2 0.375 0.375 0.874
Pt3 0.375 0.874 0.375
Pt4 0.375 0.375 0.375

## Properties
As for the volume: 18.5 Å³/atom. The density of states at the Fermi level is 5.46 states/eV/f.u. As for the space group: F-43m, No. 216. Its formation enthalpy at 0 K is -0.071 eV/atom.